VASP calculation (PBE) on crystalline Ti2SbAs at its relaxed geometry.

Lattice parameters (Å, degrees): 3.7582 3.7582 19.1808 90.00 90.00 120.00
Closest atoms and distances in Å follow each position.
Space group R-3m (No. 166, hexagonal axes)
Inequivalent atoms, fractional coordinates:
Ti: 0.0000 0.0000 0.2363 x6  3 As 2.55
Sb: 0.0000 0.0000 0.0000 x3  6 Ti 2.86
As: 0.0000 0.0000 0.5000 x3  6 Ti 2.55

Computed properties:
Energy, eV/atom: -6.762
Calculated volume, Å³/cell: 234.6
Formation energy from raw total energies, eV per atom: -0.622



VASP calculation (PBE) on crystalline TmZn4Au2 at its relaxed geometry.

Lattice parameters (Å, degrees): 7.5726 7.5726 4.3778 90.00 90.00 90.00
Closest atoms and distances in Å follow each position.
Space group P4_2/mnm (No. 136)
Inequivalent atoms, fractional coordinates:
Tm: 0.0000 0.0000 0.0000 x2  6 Au 3.07-3.20, 4 Zn 3.18
Zn: 0.1045 0.3586 0.5000 x8  3 Au 2.60-2.68, 6 Zn 2.66-2.89
Au: 0.2007 0.7993 0.5000 x4  6 Zn 2.60-2.68

Computed properties:
Energy, eV/atom: -2.687
Calculated volume, Å³/cell: 251.0
ΔE_f, eV per atom: -0.384



VASP calculation (PBE) on crystalline Sm4TmTl5 at its relaxed geometry.

Lattice parameters (Å, degrees): 3.7843 3.7843 19.7830 90.00 90.00 90.00
Closest atoms and distances in Å follow each position.
Space group P4/mmm (No. 123)
Inequivalent atoms, fractional coordinates:
Sm: 0.0000 0.0000 0.1019 x2  8 Tl 3.35
Sm: 0.0000 0.0000 0.3055 x2  8 Tl 3.34-3.35
Tm: 0.0000 0.0000 0.5000 x1  8 Tl 3.24
Tl: 0.5000 0.5000 0.0000 x1  8 Sm 3.35
Tl: 0.5000 0.5000 0.2042 x2  8 Sm 3.34-3.35
Tl: 0.5000 0.5000 0.4073 x2  4 Tm 3.24, 4 Sm 3.35

Computed properties:
Energy, eV/atom: -3.882
Calculated volume, Å³/cell: 283.3
ΔE_f, eV per atom: -0.364



VASP calculation (PBE) on crystalline ZrAs2PbS at its relaxed geometry.

Lattice parameters (Å, degrees): 5.2101 5.2101 5.6986 90.00 90.00 90.00
Closest atoms and distances in Å follow each position.
Space group P4/mmm (No. 123)
Inequivalent atoms, fractional coordinates:
Zr: 0.0000 0.0000 0.0000 x1  2 Pb 2.85
As: 0.0000 0.5000 0.5000 x2  2 Pb 2.61
Pb: 0.0000 0.0000 0.5000 x1  4 As 2.61, 2 Zr 2.85
S: 0.5000 0.5000 0.0000 x1  4 Zr 3.68, 8 As 3.86

Computed properties:
Energy, eV/atom: -3.846
Calculated volume, Å³/cell: 154.7
Formation energy from raw total energies, eV per atom: 1.290



VASP calculation (PBE) on crystalline DyTiCl at its relaxed geometry.

Lattice parameters (Å, degrees): 3.5511 3.9664 11.8955 88.95 89.78 72.99
Closest atoms and distances in Å follow each position.
Space group P1 (No. 1)
Inequivalent atoms, fractional coordinates:
Dy: 0.0000 0.0000 0.0000 x1  3 Cl 2.81-2.85
Dy: 0.4575 0.5126 0.4429 x1  3 Cl 2.81-2.86, 2 Ti 3.13-3.14
Ti: 0.0267 0.4380 0.2199 x1  2 Ti 2.24-2.25
Ti: 0.5331 0.9404 0.2238 x1  2 Ti 2.24-2.25
Cl: 0.3568 0.4130 0.8669 x1  3 Dy 2.81-2.85
Cl: 0.8151 0.9107 0.5760 x1  3 Dy 2.81-2.86

Computed properties:
Energy, eV/atom: -5.513
Calculated volume, Å³/cell: 160.2
Formation energy from raw total energies, eV per atom: -0.732



VASP calculation (PBE) on crystalline SrGaI3 at its relaxed geometry.

Lattice parameters (Å, degrees): 5.8856 5.8856 5.8856 90.00 90.00 90.00
Closest atoms and distances in Å follow each position.
Space group Pm-3m (No. 221)
Inequivalent atoms, fractional coordinates:
Sr: 0.0000 0.0000 0.0000 x1  12 I 4.16
Ga: 0.5000 0.5000 0.5000 x1  6 I 2.94
I: 0.0000 0.5000 0.5000 x3  2 Ga 2.94

Computed properties:
Energy relative to the lowest polymorph listed for this composition, meV/atom: 390
Energy, eV/atom: -2.623
Calculated volume, Å³/cell: 203.9
Formation energy from raw total energies, eV per atom: -0.751



VASP calculation (PBE) on crystalline CaMnIr2 at its relaxed geometry.

Lattice parameters (Å, degrees): 2.8696 4.3044 5.7249 90.00 103.58 90.00
Closest atoms and distances in Å follow each position.
Space group P2/m (No. 10)
Inequivalent atoms, fractional coordinates:
Ca: 0.0000 0.0000 0.0000 x1  2 Ca 2.87, 2 Mn 2.89, 8 Ir 3.02-3.10
Mn: 0.5000 0.0000 0.5000 x1  4 Ir 2.56
Ir: 0.3305 0.5000 0.7066 x2  2 Mn 2.56, 2 Ir 2.66-2.76

Computed properties:
Energy relative to the lowest polymorph listed for this composition, meV/atom: 165
Energy, eV/atom: -7.182
Calculated volume, Å³/cell: 68.7
ΔE_f, eV per atom: 0.041



VASP calculation (PBE) on crystalline CsKRb2Ga at its relaxed geometry.

Lattice parameters (Å, degrees): 7.2240 7.2240 7.2242 90.00 90.00 90.00
Closest atoms and distances in Å follow each position.
Space group P4/mmm (No. 123)
Inequivalent atoms, fractional coordinates:
Cs: 0.0000 0.0000 0.0000 x1  2 Ga 3.61
K: 0.5000 0.5000 0.0000 x1  4 Cs 5.11, 8 Rb 5.11
Rb: 0.0000 0.5000 0.5000 x2  2 Ga 3.61
Ga: 0.0000 0.0000 0.5000 x1  4 Rb 3.61, 2 Cs 3.61

Computed properties:
Energy relative to the lowest polymorph listed for this composition, meV/atom: 38
Energy, eV/atom: -1.233
Calculated volume, Å³/cell: 377.0
ΔE_f, eV per atom: 0.150



VASP calculation (PBE) on crystalline KHfPb2 at its relaxed geometry.

Lattice parameters (Å, degrees): 3.8352 3.8352 8.2829 90.00 90.00 90.00
Closest atoms and distances in Å follow each position.
Space group P4/mmm (No. 123)
Inequivalent atoms, fractional coordinates:
K: 0.0000 0.0000 0.0000 x1  8 Pb 3.71, 4 K 3.84, 2 Hf 4.14
Hf: 0.0000 0.0000 0.5000 x1  8 Pb 3.15
Pb: 0.5000 0.5000 0.3060 x2  4 Hf 3.15, 1 Pb 3.21

Computed properties:
Energy relative to the lowest polymorph listed for this composition, meV/atom: 0
Energy, eV/atom: -4.574
Calculated volume, Å³/cell: 121.8
ΔE_f, eV per atom: 0.043



VASP calculation (PBE) on crystalline PrCoSe2 at its relaxed geometry.

Lattice parameters (Å, degrees): 3.6656 3.6656 24.8211 90.00 90.00 120.00
Closest atoms and distances in Å follow each position.
Space group R-3m (No. 166, hexagonal axes)
Inequivalent atoms, fractional coordinates:
Pr: 0.0000 0.0000 0.0000 x3  2 Se 2.95
Co: 0.0000 0.0000 0.5000 x3  6 Se 2.43
Se: 0.0000 0.0000 0.1189 x6  3 Co 2.43

Computed properties:
Energy, eV/atom: -5.070
Calculated volume, Å³/cell: 288.8
Formation energy from raw total energies, eV per atom: -0.356



VASP calculation (PBE) on crystalline LiAlSeBr2 at its relaxed geometry.

Lattice parameters (Å, degrees): 5.2575 5.2575 4.8408 90.00 90.00 90.00
Closest atoms and distances in Å follow each position.
Space group P4/mmm (No. 123)
Inequivalent atoms, fractional coordinates:
Li: 0.0000 0.0000 0.0000 x1  8 Br 3.57, 4 Se 3.72
Al: 0.5000 0.5000 0.5000 x1  2 Se 2.42, 4 Br 2.63
Se: 0.5000 0.5000 0.0000 x1  2 Al 2.42
Br: 0.0000 0.5000 0.5000 x2  2 Al 2.63

Computed properties:
Energy relative to the lowest polymorph listed for this composition, meV/atom: 0
Energy, eV/atom: -3.177
Calculated volume, Å³/cell: 133.8
Formation energy from raw total energies, eV per atom: -0.680



VASP calculation (PBE) on crystalline LiEu2Lu at its relaxed geometry.

Lattice parameters (Å, degrees): 3.5189 3.5189 37.0985 90.00 90.00 120.00
Closest atoms and distances in Å follow each position.
Space group R-3m (No. 166, hexagonal axes)
Inequivalent atoms, fractional coordinates:
Li: 0.0000 0.0000 0.0000 x3  6 Li 3.52, 6 Eu 3.52
Eu: 0.0000 0.0000 0.4109 x6  1 Lu 3.31, 6 Eu 3.52, 3 Li 3.52
Lu: 0.0000 0.0000 0.5000 x3  2 Eu 3.31, 6 Lu 3.52

Computed properties:
Energy relative to the lowest polymorph listed for this composition, meV/atom: 166
Energy, eV/atom: -6.467
Calculated volume, Å³/cell: 397.8
ΔE_f, eV per atom: 0.279



Copy entry 9 word for word.
VASP calculation (PBE) on crystalline KHfPb2 at its relaxed geometry.

Lattice parameters (Å, degrees): 3.8352 3.8352 8.2829 90.00 90.00 90.00
Closest atoms and distances in Å follow each position.
Space group P4/mmm (No. 123)
Inequivalent atoms, fractional coordinates:
K: 0.0000 0.0000 0.0000 x1  8 Pb 3.71, 4 K 3.84, 2 Hf 4.14
Hf: 0.0000 0.0000 0.5000 x1  8 Pb 3.15
Pb: 0.5000 0.5000 0.3060 x2  4 Hf 3.15, 1 Pb 3.21

Computed properties:
Energy relative to the lowest polymorph listed for this composition, meV/atom: 0
Energy, eV/atom: -4.574
Calculated volume, Å³/cell: 121.8
ΔE_f, eV per atom: 0.043



> Which value of calculated volume does entry 2 give?

251.0 Å³/cell



Please write out number 3 again, unchanged.
VASP calculation (PBE) on crystalline Sm4TmTl5 at its relaxed geometry.

Lattice parameters (Å, degrees): 3.7843 3.7843 19.7830 90.00 90.00 90.00
Closest atoms and distances in Å follow each position.
Space group P4/mmm (No. 123)
Inequivalent atoms, fractional coordinates:
Sm: 0.0000 0.0000 0.1019 x2  8 Tl 3.35
Sm: 0.0000 0.0000 0.3055 x2  8 Tl 3.34-3.35
Tm: 0.0000 0.0000 0.5000 x1  8 Tl 3.24
Tl: 0.5000 0.5000 0.0000 x1  8 Sm 3.35
Tl: 0.5000 0.5000 0.2042 x2  8 Sm 3.34-3.35
Tl: 0.5000 0.5000 0.4073 x2  4 Tm 3.24, 4 Sm 3.35

Computed properties:
Energy, eV/atom: -3.882
Calculated volume, Å³/cell: 283.3
ΔE_f, eV per atom: -0.364